DFT (PBE) results for an optimized crystal structure of TbPr7Sn4.

Cell and atoms, written as POSCAR:
```
TbPr7Sn4
1.0
5.930 0.000 0.000
2.965 9.251 0.196
2.965 0.416 7.169
Tb Pr Sn
1 7 4
Cartesian
0.000 0.000 0.000
8.896 8.444 3.961
2.965 1.224 3.405
2.965 5.924 1.947
8.896 3.743 5.419
5.930 6.015 5.572
2.965 0.000 0.000
5.930 3.652 1.793
5.930 2.458 4.622
5.930 7.209 2.743
8.896 6.607 6.829
2.965 3.060 0.536
```

Properties
Calculated volume: 32.73 Å³ per atom
Total magnetization: 0.00 μB per cell
SG: C2/m, No. 12
Crystal system: monoclinic
E_form: -0.312 eV per atom
Energy: -4.82 eV per atom
Theoretical density: 6.85 g cm⁻³

---

DFT (PBE) results for an optimized crystal structure of TbPr3Sn.

Cell and atoms, written as POSCAR:
```
TbPr3Sn
1.0
-7.150 -3.425 -0.489
6.954 -3.555 1.447
1.223 4.415 6.489
Tb Pr Sn
2 6 2
Cartesian
4.669 -0.755 7.612
-3.733 -5.084 0.284
2.475 1.991 5.036
5.764 -1.949 2.925
2.294 -1.485 5.599
1.595 0.073 2.463
-1.372 -1.870 2.042
-0.579 -3.071 5.043
1.615 -3.414 2.820
-0.597 0.462 4.680
```

Properties
Calculated volume: 34.20 Å³ per atom
Total magnetization: 0.00 μB per cell
SG: Ima2, No. 46
Crystal system: orthorhombic
E_form: 0.035 eV per atom
Energy: -4.56 eV per atom
Theoretical density: 6.80 g cm⁻³

---

DFT (PBE) results for an optimized crystal structure of TbPr5Sn6.

Cell and atoms, written as POSCAR:
```
TbPr5Sn6
1.0
-4.609 -2.652 -7.903
3.125 -3.075 -3.894
-0.472 -7.746 1.323
Tb Pr Sn
1 5 6
Cartesian
0.000 0.000 0.000
-2.081 -6.949 -3.747
0.899 -3.561 -0.881
-0.742 -2.864 -5.898
1.753 -7.260 -1.690
0.125 -6.525 -6.727
-3.407 -4.765 -5.828
0.592 -5.023 -3.829
-0.485 -1.347 -2.859
-0.999 -4.380 -8.937
-2.548 -8.451 -6.644
1.451 -8.708 -4.645
```

Properties
Calculated volume: 30.55 Å³ per atom
Total magnetization: 0.00 μB per cell
SG: C2/m, No. 12
Crystal system: monoclinic
E_form: -0.638 eV per atom
Energy: -5.02 eV per atom
Theoretical density: 7.14 g cm⁻³

---

DFT (PBE) results for an optimized crystal structure of TbPr5Sn4.

Cell and atoms, written as POSCAR:
```
TbPr5Sn4
1.0
5.465 0.000 0.000
0.000 6.775 -2.764
-2.732 -3.519 10.460
Tb Pr Sn
1 5 4
Cartesian
2.732 0.000 0.000
2.732 2.215 5.101
2.732 -1.228 6.536
0.000 4.483 1.160
2.732 3.387 -1.382
0.000 1.040 2.594
0.000 3.814 4.345
2.732 1.566 8.243
2.732 -0.558 3.351
0.000 1.690 -0.547
```

Properties
Calculated volume: 33.41 Å³ per atom
Total magnetization: 0.00 μB per cell
SG: C2/m, No. 12
Crystal system: monoclinic
E_form: -0.556 eV per atom
Energy: -5.01 eV per atom
Theoretical density: 6.65 g cm⁻³

---

DFT (PBE) results for an optimized crystal structure of TbPrSn2.

Cell and atoms, written as POSCAR:
```
TbPrSn2
1.0
-4.425 1.320 -0.001
-1.195 -4.003 1.291
2.702 0.989 5.568
Tb Pr Sn
1 1 2
Cartesian
-0.542 1.911 5.423
-1.407 -0.982 3.058
1.030 -0.895 5.582
-2.977 1.829 2.917
```

Properties
Calculated volume: 29.41 Å³ per atom
Total magnetization: 0.00 μB per cell
SG: Amm2, No. 38
Crystal system: orthorhombic
E_form: -0.757 eV per atom
Energy: -5.11 eV per atom
Theoretical density: 7.58 g cm⁻³

---

DFT (PBE) results for an optimized crystal structure of TbPrSn.

Cell and atoms, written as POSCAR:
```
TbPrSn
1.0
5.253 0.000 0.000
2.627 4.549 0.000
2.627 1.516 4.289
Pr Tb Sn
1 1 1
Cartesian
0.000 0.000 0.000
5.253 3.033 2.145
2.627 1.516 1.072
```

Properties
Calculated volume: 34.17 Å³ per atom
Total magnetization: 0.00 μB per cell
SG: F-43m, No. 216
Crystal system: cubic
E_form: -0.418 eV per atom
Energy: -4.89 eV per atom
Theoretical density: 6.78 g cm⁻³

---

DFT (PBE) results for an optimized crystal structure of TbPrSn.

Cell and atoms, written as POSCAR:
```
TbPrSn
1.0
3.985 0.000 0.000
0.000 5.181 0.000
0.000 -2.591 4.487
Pr Tb Sn
1 1 1
Cartesian
0.122 0.000 0.000
2.338 0.000 2.991
1.526 2.591 1.496
```

Properties
Calculated volume: 30.89 Å³ per atom
Total magnetization: 0.00 μB per cell
SG: P3m1, No. 156
Crystal system: trigonal
E_form: -0.373 eV per atom
Energy: -4.84 eV per atom
Theoretical density: 7.50 g cm⁻³

---

DFT (PBE) results for an optimized crystal structure of TbPr2Sn.

Cell and atoms, written as POSCAR:
```
TbPr2Sn
1.0
-0.564 -3.258 -1.412
2.780 -1.961 -1.163
1.861 -6.777 10.317
Pr Tb Sn
2 1 1
Cartesian
1.567 -5.458 7.392
2.510 -6.537 0.350
2.039 -5.998 3.871
0.000 0.000 0.000
```

Properties
Calculated volume: 34.44 Å³ per atom
Total magnetization: 0.00 μB per cell
SG: R-3m, No. 166
Crystal system: trigonal
E_form: 0.056 eV per atom
Energy: -4.49 eV per atom
Theoretical density: 6.74 g cm⁻³